Record 1
# YBS | the Alexandria database | PBE | relaxed
# Total magnetic moment: 0.000 Bohr magnetons per cell
# Formation energy (no corrections): -3.420 eV/f.u.
# Raw total energy: -6.896 eV per atom
data_YBS
_cell_length_a 3.860
_cell_length_b 3.497
_cell_length_c 7.852
_cell_angle_alpha 90.00
_cell_angle_beta 104.15
_cell_angle_gamma 90.00
_symmetry_space_group_name_H-M 'P 1 21/m 1'
_symmetry_Int_Tables_number 11
_symmetry_space_group_name_Hall '-P 2yb'
loop_
_atom_site_label
_atom_site_type_symbol
_atom_site_fract_x
_atom_site_fract_y
_atom_site_fract_z
Y1 Y 0.097 0.250 0.195
B1 B 0.477 0.250 0.954
S1 S 0.347 0.250 0.693

Record 2
# Y8BS6 | the Alexandria database | PBE | relaxed
# Total magnetic moment: 0.000 Bohr magnetons per cell
# Formation energy (no corrections): -19.406 eV/f.u.
# Raw total energy: -6.837 eV per atom
data_Y8BS6
_cell_length_a 9.9670
_cell_length_b 9.9670
_cell_length_c 3.9511
_cell_angle_alpha 90.00
_cell_angle_beta 90.00
_cell_angle_gamma 120.00
_symmetry_space_group_name_H-M 'P -3'
_symmetry_Int_Tables_number 147
_symmetry_space_group_name_Hall '-P 3'
loop_
_atom_site_label
_atom_site_type_symbol
_atom_site_fract_x
_atom_site_fract_y
_atom_site_fract_z
Y1 Y 0.0290 0.3082 0.2578
Y2 Y 0.3333 0.6667 0.7463
B1 B 0.0000 0.0000 0.5000
S1 S 0.1314 0.6522 0.2477

Record 3
# Y4BS3 | the Alexandria database | PBE | relaxed
# Total magnetic moment: 0.000 Bohr magnetons per cell
# Formation energy (no corrections): -13.126 eV/f.u.
# Raw total energy: -7.255 eV per atom
data_Y4BS3
_cell_length_a 7.863
_cell_length_b 11.032
_cell_length_c 3.879
_cell_angle_alpha 90.00
_cell_angle_beta 90.00
_cell_angle_gamma 90.00
_symmetry_space_group_name_H-M 'C m m m'
_symmetry_Int_Tables_number 65
_symmetry_space_group_name_Hall '-C 2 2'
loop_
_atom_site_label
_atom_site_type_symbol
_atom_site_fract_x
_atom_site_fract_y
_atom_site_fract_z
Y1 Y 0.000 0.235 0.000
Y2 Y 0.228 0.000 0.500
B1 B 0.000 0.000 0.000
S1 S 0.000 0.500 0.000
S2 S 0.250 0.250 0.500

Record 4
# Y6BS5 | the Alexandria database | PBE | relaxed
# Total magnetic moment: 0.000 Bohr magnetons per cell
# Formation energy (no corrections): -21.526 eV/f.u.
# Raw total energy: -7.302 eV per atom
data_Y6BS5
_cell_length_a 6.780
_cell_length_b 11.723
_cell_length_c 6.784
_cell_angle_alpha 90.00
_cell_angle_beta 109.43
_cell_angle_gamma 90.00
_symmetry_space_group_name_H-M 'C 1 2/m 1'
_symmetry_Int_Tables_number 12
_symmetry_space_group_name_Hall '-C 2y'
loop_
_atom_site_label
_atom_site_type_symbol
_atom_site_fract_x
_atom_site_fract_y
_atom_site_fract_z
Y1 Y 0.233 0.000 0.264
Y2 Y 0.234 0.156 0.735
B1 B 0.000 0.000 0.500
S1 S 0.000 0.172 0.000
S2 S 0.000 0.334 0.500
S3 S 0.000 0.500 0.000

Record 5
# ZnB2S2 | the Alexandria database | PBE | relaxed
# Total magnetic moment: 0.000 Bohr magnetons per cell
# Energy above the lowest structure with this stoichiometry: 0.00 eV/f.u.
# Formation energy (no corrections): -0.290 eV/f.u.
# Raw total energy: -4.635 eV per atom
data_ZnB2S2
_cell_length_a 8.795
_cell_length_b 8.795
_cell_length_c 2.937
_cell_angle_alpha 90.00
_cell_angle_beta 90.00
_cell_angle_gamma 90.00
_symmetry_space_group_name_H-M 'P 4/m b m'
_symmetry_Int_Tables_number 127
_symmetry_space_group_name_Hall '-P 4 2ab'
loop_
_atom_site_label
_atom_site_type_symbol
_atom_site_fract_x
_atom_site_fract_y
_atom_site_fract_z
Zn1 Zn 0.000 0.000 0.000
B1 B 0.067 0.433 0.000
S1 S 0.152 0.348 0.500

Record 6
# Zn3BS | the Alexandria database | PBE | relaxed
# Total magnetic moment: 0.001 Bohr magnetons per cell
# Energy above the lowest structure with this stoichiometry: 0.00 eV/f.u.
# Formation energy (no corrections): 1.295 eV/f.u.
# Raw total energy: -2.666 eV per atom
data_Zn3BS
_cell_length_a 4.234
_cell_length_b 4.234
_cell_length_c 4.234
_cell_angle_alpha 90.00
_cell_angle_beta 90.00
_cell_angle_gamma 90.00
_symmetry_space_group_name_H-M 'P m -3 m'
_symmetry_Int_Tables_number 221
_symmetry_space_group_name_Hall '-P 4 2 3'
loop_
_atom_site_label
_atom_site_type_symbol
_atom_site_fract_x
_atom_site_fract_y
_atom_site_fract_z
Zn1 Zn 0.000 0.000 0.500
B1 B 0.000 0.000 0.000
S1 S 0.500 0.500 0.500